Entry from the Alexandria database: a relaxed TeBrCl3 crystal (GGA-PBEsol).

```
TeBrCl3
1.0
5.1762 0.0000 0.0000
0.0000 5.1762 0.0000
0.0000 0.0000 5.1762
Te Br Cl
1 1 3
Direct
0.0000 0.0000 0.0000
0.5000 0.5000 0.5000
0.0000 0.0000 0.5000
0.0000 0.5000 0.0000
0.5000 0.0000 0.0000
```

## Properties
- Uncorrected formation energy: -0.094 eV per atom
- Total DFT energy (no corrections): -0.08741 Ha/atom
- Total magnetization: 0.72 μB per cell